Entry from the Alexandria database: a relaxed Ca3Nd2PaBi6 crystal (PBE-GGA).

Its density of states at the Fermi level is 0.604 states/eV/atom. As for the formation enthalpy at 0 K: -0.715 eV/atom. The magnetization is 0.00 μB per cell.

The structure belongs to space group C2/m (No. 12); the cell edges are 7.9954, 13.8786 and 7.8977 Å and the angles 90.00°, 109.86° and 90.00°. Symmetry generates all atoms from Ca at (0.0000, 0.0000, 0.0000), Ca at (0.0000, 0.3274, 0.0000), Nd at (0.0000, 0.1658, 0.5000), Pa at (0.0000, 0.5000, 0.5000), Bi at (0.2398, 0.5000, 0.2551) and Bi at (0.2414, 0.3386, 0.7413).


Entry from the Alexandria database: a relaxed AcHfGaO6 crystal (PBE-GGA).

Its uncorrected formation energy is -2261 meV/atom. Its density of states at the Fermi level is 0.521 states/eV/atom. The magnetization is 2.00 μB per cell.

The structure belongs to space group P312 (No. 149); the cell edges are 5.5707, 5.5707 and 4.6486 Å and the angles 90.00°, 90.00° and 120.00°. Symmetry generates all atoms from Ac at (0.0000, 0.0000, 0.0000), Hf at (0.6667, 0.3333, 0.5000), Ga at (0.3333, 0.6667, 0.0000) and O at (0.0053, 0.4004, 0.2445).


Entry from the Alexandria database: a relaxed Mn2C crystal (PBE-GGA).

Its density of states at the Fermi level is 0.929 states/eV/atom. As for the formation enthalpy at 0 K: -0.031 eV/atom. The magnetization is 11.19 μB per cell.

The structure belongs to space group P-31m (No. 162); the cell edges are 4.8329, 4.8329 and 4.3971 Å and the angles 90.00°, 90.00° and 120.00°. Symmetry generates all atoms from Mn at (0.0000, 0.3423, 0.2438), C at (0.0000, 0.0000, 0.0000) and C at (0.3333, 0.6667, 0.5000).


Entry from the Alexandria database: a relaxed Hf4TaH10 crystal (PBE-GGA).

Its density of states at the Fermi level is 0.344 states/eV/atom. The uncorrected energy comes out at -6.096 eV per atom. The magnetization is 0.00 μB per cell.

The structure belongs to space group I4/m (No. 87); the cell edges are 7.2057, 7.2057 and 4.8878 Å and the angles 90.00°, 90.00° and 90.00°. Symmetry generates all atoms from Hf at (0.1051, 0.2998, 0.0000), Ta at (0.0000, 0.0000, 0.5000), H at (0.0000, 0.5000, 0.2500) and H at (0.0946, 0.8049, 0.2524).